{
  "formula": "Hf2CrCoF",
  "functional": "GGA+U",
  "state": "optimized geometry",
  "lattice_angstrom": [[4.4153, 0.0000, 0.0000], [0.0000, 4.4153, 0.0000], [0.0000, 0.0000, 4.3720]],
  "species": ["Hf", "Hf", "Cr", "Co", "F"],
  "frac_coords": [[0.0000, 0.5000, 0.0000], [0.5000, 0.0000, 0.0000], [0.0000, 0.0000, 0.5000], [0.5000, 0.5000, 0.5000], [0.0000, 0.0000, 0.0000]],
  "mass_density_g_cm3": 9.5,
  "energy_ev_per_cell": -34.522,
  "magmom_total_mub_per_cell": 5.9,
  "space_group": "P4/mmm"
}